# 1
BeIn2Ni PBE-GGA optimized geometry; raw total energy = -0.2643 Ry per atom; D(E_F) = 0.504 states/eV/atom; ΔE_f = 0.150 eV per atom; crystal system = monoclinic; energy relative to the lowest polymorph listed for this composition = 84 meV/atom; space-group type = Cm (8)
1.0
5.9624 -1.4336 0.0000
5.9624 1.4336 0.0000
-1.5201 0.0000 4.0869
Be In Ni
1 2 1
Cartesian
0.0000 0.0000 0.0000 Be
6.3759 0.0000 2.5142 In
9.3854 0.0000 1.3282 In
2.8340 0.0000 3.4341 Ni

***

# 2
KNbP3 PBE-GGA optimized geometry; raw total energy = -0.2376 Ry per atom; D(E_F) = 1.640 states/eV/atom; ΔE_f = 2.246 eV per atom; crystal system = cubic; energy relative to the lowest polymorph listed for this composition = 2329 meV/atom; space-group type = Pm-3m (221)
1.0
4.8363 0.0000 0.0000
0.0000 4.8363 0.0000
0.0000 0.0000 4.8363
K Nb P
1 1 3
Cartesian
0.0000 0.0000 0.0000 K
2.4182 2.4182 2.4182 Nb
0.0000 0.0000 2.4182 P
0.0000 2.4182 0.0000 P
2.4182 0.0000 0.0000 P

***

# 3
VCoIr PBE-GGA optimized geometry; raw total energy = -0.6424 Ry per atom; D(E_F) = 0.758 states/eV/atom; ΔE_f = -0.379 eV per atom; crystal system = hexagonal; energy relative to the lowest polymorph listed for this composition = 0 meV/atom; space-group type = P6_3/mmc (194)
1.0
4.0775 0.0000 0.0000
-2.0387 3.5312 0.0000
0.0000 0.0000 5.2639
V Co Ir
2 2 2
Cartesian
0.0000 2.3541 1.3160 V
2.0387 1.1771 3.9480 V
0.0000 2.3541 3.9480 Co
2.0387 1.1771 1.3160 Co
0.0000 0.0000 0.0000 Ir
0.0000 0.0000 2.6320 Ir

***

# 4
DyAl6Os PBE-GGA optimized geometry; raw total energy = -0.3487 Ry per atom; D(E_F) = 0.380 states/eV/atom; ΔE_f = 0.041 eV per atom; crystal system = trigonal; space-group type = R-3m (166)
1.0
2.9132 1.6819 5.9854
-2.9132 1.6819 5.9854
0.0000 -3.3638 5.9854
Dy Al Os
1 6 1
Cartesian
0.0000 0.0000 0.0000 Dy
-1.5335 -0.8854 7.3272 Al
0.0000 -1.7708 10.6290 Al
-1.5335 0.8854 10.6290 Al
1.5335 -0.8854 7.3272 Al
0.0000 1.7708 7.3272 Al
1.5335 0.8854 10.6290 Al
0.0000 0.0000 8.9781 Os

***

# 5
Sr2CaIr PBE-GGA optimized geometry; raw total energy = -0.2622 Ry per atom; D(E_F) = 0.779 states/eV/atom; ΔE_f = -0.011 eV per atom; crystal system = tetragonal; energy relative to the lowest polymorph listed for this composition = 214 meV/atom; space-group type = I-42d (122)
1.0
-5.3693 5.3693 2.8191
5.3693 -5.3693 2.8191
5.3693 5.3693 -2.8191
Sr Ca Ir
4 2 2
Cartesian
1.1287 2.6847 0.7048 Sr
-2.6847 4.2407 2.1143 Sr
-1.1287 8.0540 0.7048 Sr
2.6847 6.4980 2.1143 Sr
5.3693 0.0000 1.4096 Ca
0.0000 0.0000 2.8191 Ca
0.0000 0.0000 0.0000 Ir
0.0000 5.3693 1.4096 Ir

***

# 6
TbPmSbO6 PBE-GGA optimized geometry; raw total energy = -0.5291 Ry per atom; D(E_F) = 0.549 states/eV/atom; crystal system = trigonal; formation energy (no corrections) = -2.39 eV per atom; space-group type = P-31c (163)
1.0
5.6981 0.0000 0.0000
-2.8490 4.9347 0.0000
0.0000 0.0000 9.6187
Tb Pm Sb O
2 2 2 12
Cartesian
0.0000 3.2898 2.4047 Tb
2.8490 1.6449 7.2141 Tb
0.0000 0.0000 0.0000 Pm
0.0000 0.0000 4.8094 Pm
0.0000 3.2898 7.2141 Sb
2.8490 1.6449 2.4047 Sb
-0.8328 1.8190 6.1179 O
-1.6901 3.3040 8.3102 O
0.8328 1.8190 8.3102 O
-0.8574 4.7464 6.1179 O
1.9917 0.1883 1.3086 O
1.1589 1.6307 3.5008 O
1.6901 3.3040 6.1179 O
0.8574 4.7464 8.3102 O
3.7064 0.1883 3.5008 O
2.0163 3.1157 1.3086 O
4.5391 1.6307 1.3086 O
3.6818 3.1157 3.5008 O

***

# 7
CdSn3Cl8 PBE-GGA optimized geometry; raw total energy = -0.2432 Ry per atom; D(E_F) = 0.000 states/eV/atom; crystal system = orthorhombic; formation energy (no corrections) = -1.00 eV per atom; space-group type = C222 (21)
1.0
3.9410 -6.2089 0.0000
3.9410 6.2089 0.0000
0.0000 0.0000 8.1824
Cd Sn Cl
1 3 8
Cartesian
0.0000 0.0000 0.0000 Cd
0.0000 0.0000 4.0912 Sn
1.9705 3.1044 2.0104 Sn
1.9705 -3.1044 6.1720 Sn
3.9410 3.5246 0.0000 Cl
1.8737 0.2264 1.9098 Cl
3.9410 3.3351 4.0912 Cl
1.8737 -0.2264 6.2726 Cl
6.0082 0.2264 6.2726 Cl
3.9410 -3.3351 4.0912 Cl
6.0082 -0.2264 1.9098 Cl
3.9410 -3.5246 0.0000 Cl

***

# 8
LaHg3Rh PBE-GGA optimized geometry; raw total energy = -0.1107 Ry per atom; D(E_F) = 2.051 states/eV/atom; ΔE_f = 1.131 eV per atom; crystal system = cubic; energy relative to the lowest polymorph listed for this composition = 1197 meV/atom; space-group type = Pm-3m (221)
1.0
5.9293 0.0000 0.0000
0.0000 5.9293 0.0000
0.0000 0.0000 5.9293
La Hg Rh
1 3 1
Cartesian
0.0000 0.0000 0.0000 La
0.0000 0.0000 2.9647 Hg
0.0000 2.9647 0.0000 Hg
2.9647 0.0000 0.0000 Hg
2.9647 2.9647 2.9647 Rh

***

# 9
NpTl2OsO6 PBE-GGA optimized geometry; raw total energy = -0.5436 Ry per atom; D(E_F) = 0.811 states/eV/atom; crystal system = tetragonal; formation energy (no corrections) = -1.53 eV per atom; space-group type = I4/mmm (139)
1.0
-2.8911 2.8911 5.5374
2.8911 -2.8911 5.5374
2.8911 2.8911 -5.5374
Np Tl Os O
1 2 1 6
Cartesian
0.0000 0.0000 0.0000 Np
2.8911 0.0000 2.7687 Tl
0.0000 2.8911 2.7687 Tl
0.0000 0.0000 5.5374 Os
0.0000 0.0000 1.8928 O
1.5711 1.5711 0.0000 O
1.3199 -1.3199 5.5374 O
-1.3199 1.3199 5.5374 O
1.3199 1.3199 5.5374 O
0.0000 0.0000 9.1821 O

***

# 10
RbSrS14 PBE-GGA optimized geometry; raw total energy = -0.2926 Ry per atom; D(E_F) = 0.210 states/eV/atom; crystal system = orthorhombic; formation energy (no corrections) = -0.20 eV per atom; space-group type = Imma (74)
1.0
-5.9473 10.8352 4.5570
5.9473 -10.8352 4.5570
5.9473 10.8352 -4.5570
Rb Sr S
2 2 28
Cartesian
0.0000 5.4176 1.4974 Rb
5.9473 5.4176 3.0595 Rb
2.9736 5.4176 -2.2785 Sr
2.9736 -5.4176 2.2785 Sr
5.9473 -3.8749 1.9931 S
5.9473 -1.9680 1.3049 S
5.9473 6.9603 -1.9931 S
2.1837 3.3851 -0.0944 S
9.7109 3.3851 -0.0944 S
5.9473 1.9016 0.6390 S
5.9473 8.8672 -1.3049 S
3.5365 3.4711 1.3707 S
8.3581 3.4711 1.3707 S
2.1837 7.4502 -0.0944 S
3.7636 -3.3851 4.4626 S
5.9473 8.9337 0.6390 S
3.5365 7.3641 1.3707 S
2.4108 -3.4711 5.9277 S
3.5365 14.3063 -1.3707 S
2.4108 3.4711 3.1863 S
0.0000 1.9016 3.9180 S
2.1837 14.2203 0.0944 S
3.7636 3.3851 4.6514 S
-2.4108 7.3641 3.1863 S
2.4108 7.3641 3.1863 S
0.0000 1.9680 5.8619 S
0.0000 8.9337 3.9180 S
-3.7636 7.4502 4.6514 S
3.7636 7.4502 4.6514 S
0.0000 3.8749 6.5501 S
0.0000 12.8032 3.2521 S
0.0000 14.7101 2.5639 S

***

# 11
CsCdSnSe3 PBE-GGA optimized geometry; raw total energy = -0.2483 Ry per atom; D(E_F) = 0.433 states/eV/atom; crystal system = monoclinic; formation energy (no corrections) = -0.67 eV per atom; space-group type = P2_1/m (11)
1.0
9.3119 0.0000 0.0000
0.0000 4.4407 0.0000
-3.6690 0.0000 9.9848
Cs Cd Sn Se
2 2 2 6
Cartesian
1.1229 1.1102 2.5290 Cs
4.5200 3.3305 7.4559 Cs
-1.3574 1.1102 6.1428 Cd
7.0003 3.3305 3.8420 Cd
-0.0987 3.3305 8.8194 Sn
5.7416 1.1102 1.1654 Sn
-1.9360 1.1102 8.7521 Se
-0.0033 3.3305 5.4023 Se
3.9020 3.3305 1.5331 Se
1.7408 1.1102 8.4517 Se
5.6462 1.1102 4.5825 Se
7.5789 3.3305 1.2327 Se

***

# 12
ZrBe2Sb PBE-GGA optimized geometry; raw total energy = -0.3477 Ry per atom; D(E_F) = 0.550 states/eV/atom; crystal system = tetragonal; formation energy (no corrections) = 0.30 eV per atom; space-group type = I-42d (122)
1.0
-3.5294 3.5294 2.8049
3.5294 -3.5294 2.8049
3.5294 3.5294 -2.8049
Zr Be Sb
2 4 2
Cartesian
0.0000 0.0000 0.0000 Zr
0.0000 3.5294 1.4024 Zr
1.7647 -1.5798 2.1036 Be
1.9496 1.7647 0.7012 Be
1.7647 5.1092 -0.7012 Be
1.5798 1.7647 3.5061 Be
3.5294 0.0000 1.4024 Sb
0.0000 0.0000 2.8049 Sb